Density functional theory data (PBE) for a relaxed KSiTc2 crystal.

Cell and atoms, written as POSCAR:
```
KSiTc2
1.0
1.4380 0.8302 9.6793
-1.4380 0.8302 9.6793
0.0000 -1.6605 9.6793
K Si Tc
1 1 2
direct
0.0000 0.0000 0.0000
0.5000 0.5000 0.5000
0.2314 0.2314 0.2314
0.7686 0.7686 0.7686
```

## Properties
The calculation puts the theoretical density at 6.30 g cm⁻³. Its total energy is -6.28 eV/atom. The calculation puts the magnetic moment at 0.0 μB/cell. For the formation energy from raw total energies, the calculation gives 0.538 eV per atom. Its space-group type is R-3m, No. 166. The density of states at the Fermi level is 6.02 states/eV/f.u.

=====

Density functional theory data (PBE) for a relaxed Rb4Th3MgS8 crystal.

Cell and atoms, written as POSCAR:
```
Rb4Th3MgS8
1.0
4.1209 2.3792 7.7323
-4.1209 2.3792 7.7323
0.0000 -4.7584 7.7323
Rb Th Mg S
4 3 1 8
direct
0.0000 0.0000 0.0000
0.0000 0.5000 0.5000
0.5000 0.0000 0.5000
0.5000 0.5000 0.0000
0.0000 0.0000 0.5000
0.0000 0.5000 0.0000
0.5000 0.0000 0.0000
0.5000 0.5000 0.5000
0.2349 0.2349 0.2349
0.2390 0.7269 0.7269
0.2731 0.2731 0.7610
0.2731 0.7610 0.2731
0.7269 0.2390 0.7269
0.7269 0.7269 0.2390
0.7610 0.2731 0.2731
0.7651 0.7651 0.7651
```

## Properties
The calculation puts the theoretical density at 4.81 g cm⁻³. Its total energy is -5.39 eV/atom. The calculation puts the magnetic moment at 0.0 μB/cell. For the formation energy from raw total energies, the calculation gives -1.594 eV per atom. Its space-group type is R-3m, No. 166. The density of states at the Fermi level is 9.63 states/eV/f.u.

=====

Density functional theory data (PBE) for a relaxed Tl4InHg12 crystal.

Cell and atoms, written as POSCAR:
```
Tl4InHg12
1.0
-4.9492 4.9492 4.9492
4.9492 -4.9492 4.9492
4.9492 4.9492 -4.9492
Tl In Hg
4 1 12
direct
0.0000 0.0000 0.5000
0.0000 0.5000 0.0000
0.5000 0.0000 0.0000
0.5000 0.5000 0.5000
0.0000 0.0000 0.0000
0.0000 0.2991 0.2991
0.0000 0.7009 0.7009
0.2500 0.5000 0.7500
0.2500 0.7500 0.5000
0.2991 0.0000 0.2991
0.2991 0.2991 0.0000
0.5000 0.2500 0.7500
0.5000 0.7500 0.2500
0.7009 0.0000 0.7009
0.7009 0.7009 0.0000
0.7500 0.2500 0.5000
0.7500 0.5000 0.2500
```

## Properties
The calculation puts the theoretical density at 11.44 g cm⁻³. Its total energy is -0.93 eV/atom. The calculation puts the magnetic moment at 0.0 μB/cell. Its space-group type is Im-3m, No. 229. The calculation puts the formation energy at 4 meV per atom. The density of states at the Fermi level is 7.89 states/eV/f.u.

=====

Density functional theory data (PBE) for a relaxed Mg4SiPt crystal.

Cell and atoms, written as POSCAR:
```
Mg4SiPt
1.0
0.0000 3.8473 3.8473
3.8473 0.0000 3.8473
3.8473 3.8473 0.0000
Mg Si Pt
4 1 1
direct
0.1244 0.1244 0.1244
0.1244 0.1244 0.6267
0.1244 0.6267 0.1244
0.6267 0.1244 0.1244
0.5000 0.5000 0.5000
0.7500 0.7500 0.7500
```

## Properties
The calculation puts the theoretical density at 4.67 g cm⁻³. Its total energy is -2.81 eV/atom. The calculation puts the magnetic moment at 0.0 μB/cell. For the formation energy from raw total energies, the calculation gives 0.160 eV per atom. Its space-group type is F-43m, No. 216. The density of states at the Fermi level is 1.36 states/eV/f.u.

=====

Density functional theory data (PBE) for a relaxed Tm3NiIr8 crystal.

Cell and atoms, written as POSCAR:
```
Tm3NiIr8
1.0
2.6426 1.5257 8.6574
-2.6426 1.5257 8.6574
0.0000 -3.0515 8.6574
Tm Ni Ir
3 1 8
direct
0.0000 0.0000 0.0000
0.1304 0.1304 0.1304
0.6136 0.6136 0.6136
0.4781 0.4781 0.4781
0.0613 0.5638 0.5638
0.0621 0.0621 0.5619
0.0621 0.5619 0.0621
0.3124 0.3124 0.3124
0.5619 0.0621 0.0621
0.5638 0.0613 0.5638
0.5638 0.5638 0.0613
0.8136 0.8136 0.8136
```

## Properties
The calculation puts the theoretical density at 16.68 g cm⁻³. Its total energy is -8.03 eV/atom. The calculation puts the magnetic moment at 0.7 μB/cell. Its space-group type is R3m, No. 160. The calculation puts the formation energy at -528 meV per atom. The density of states at the Fermi level is 14.18 states/eV/f.u.

=====

Density functional theory data (PBE) for a relaxed Ce5SnHg3 crystal.

Cell and atoms, written as POSCAR:
```
Ce5SnHg3
1.0
9.5808 0.0000 0.0000
-4.7904 8.2972 0.0000
0.0000 0.0000 6.4218
Ce Sn Hg
10 2 6
direct
0.0000 0.2894 0.2500
0.0000 0.7106 0.7500
0.2894 0.0000 0.2500
0.2894 0.2894 0.7500
0.3333 0.6667 0.0000
0.3333 0.6667 0.5000
0.6667 0.3333 0.0000
0.6667 0.3333 0.5000
0.7106 0.0000 0.7500
0.7106 0.7106 0.2500
0.0000 0.0000 0.0000
0.0000 0.0000 0.5000
0.0000 0.3770 0.7500
0.0000 0.6230 0.2500
0.3770 0.0000 0.7500
0.3770 0.3770 0.2500
0.6230 0.0000 0.2500
0.6230 0.6230 0.7500
```

## Properties
The calculation puts the theoretical density at 9.24 g cm⁻³. Its total energy is -4.14 eV/atom. The calculation puts the magnetic moment at 12.9 μB/cell. Its space-group type is P6_3/mcm, No. 193. The calculation puts the formation energy at -301 meV per atom. The density of states at the Fermi level is 27.73 states/eV/f.u.

=====

Density functional theory data (PBE) for a relaxed SrY2Ho3Te6 crystal.

Cell and atoms, written as POSCAR:
```
SrY2Ho3Te6
1.0
9.6082 -2.2020 0.0000
9.6082 2.2020 0.0000
-2.1165 0.0000 8.5807
Sr Y Ho Te
1 2 3 6
direct
0.0000 0.0000 0.0000
0.3284 0.3284 0.6547
0.6716 0.6716 0.3453
0.0000 0.0000 0.5000
0.3370 0.3370 0.1808
0.6630 0.6630 0.8192
0.1641 0.1641 0.5829
0.1728 0.1728 0.0824
0.4970 0.4970 0.7371
0.5030 0.5030 0.2629
0.8272 0.8272 0.9176
0.8359 0.8359 0.4171
```

## Properties
The calculation puts the theoretical density at 6.98 g cm⁻³. Its total energy is -5.27 eV/atom. The calculation puts the magnetic moment at 0.0 μB/cell. For the formation energy from raw total energies, the calculation gives -1.334 eV per atom. Its space-group type is C2/m, No. 12. The density of states at the Fermi level is 5.62 states/eV/f.u.

=====

Density functional theory data (PBE) for a relaxed Nd4In5 crystal.

Cell and atoms, written as POSCAR:
```
Nd4In5
1.0
9.5431 0.0000 0.0000
-4.7716 8.2646 0.0000
0.0000 0.0000 6.5989
Nd In
8 10
direct
0.0000 0.0000 0.0000
0.0000 0.0000 0.5000
0.0000 0.3679 0.2500
0.0000 0.6321 0.7500
0.3679 0.0000 0.2500
0.3679 0.3679 0.7500
0.6321 0.0000 0.7500
0.6321 0.6321 0.2500
0.0000 0.3036 0.7500
0.0000 0.6964 0.2500
0.3036 0.0000 0.7500
0.3036 0.3036 0.2500
0.3333 0.6667 0.0000
0.3333 0.6667 0.5000
0.6667 0.3333 0.0000
0.6667 0.3333 0.5000
0.6964 0.0000 0.2500
0.6964 0.6964 0.7500
```

## Properties
The calculation puts the theoretical density at 7.35 g cm⁻³. Its total energy is -4.08 eV/atom. The calculation puts the magnetic moment at 0.0 μB/cell. Its space-group type is P6_3/mcm, No. 193. The calculation puts the formation energy at -437 meV per atom. The density of states at the Fermi level is 7.46 states/eV/f.u.

=====

Density functional theory data (PBE) for a relaxed KBa2Ge crystal.

Cell and atoms, written as POSCAR:
```
KBa2Ge
1.0
2.5396 1.4663 10.6913
-2.5396 1.4663 10.6913
0.0000 -2.9325 10.6913
K Ba Ge
1 2 1
direct
0.0000 0.0000 0.0000
0.5451 0.5451 0.5451
0.7814 0.7814 0.7814
0.1625 0.1625 0.1625
```

## Properties
The calculation puts the theoretical density at 2.69 g cm⁻³. Its total energy is -2.61 eV/atom. The calculation puts the magnetic moment at 0.0 μB/cell. Its space-group type is R3m, No. 160. The calculation puts the formation energy at -225 meV per atom. The density of states at the Fermi level is 6.74 states/eV/f.u.

=====

Density functional theory data (PBE) for a relaxed MnIn2Tc crystal.

Cell and atoms, written as POSCAR:
```
MnIn2Tc
1.0
0.0000 3.2654 3.2654
3.2654 0.0000 3.2654
3.2654 3.2654 0.0000
Mn In Tc
1 2 1
direct
0.0000 0.0000 0.0000
0.2500 0.2500 0.2500
0.7500 0.7500 0.7500
0.5000 0.5000 0.5000
```

## Properties
The calculation puts the theoretical density at 9.12 g cm⁻³. Its total energy is -5.98 eV/atom. The calculation puts the magnetic moment at 3.3 μB/cell. For the distance to the lowest polymorph of the same formula, the calculation gives 0.081 eV per atom. Its space-group type is Fm-3m, No. 225. The calculation puts the formation energy at 276 meV per atom. The density of states at the Fermi level is 2.31 states/eV/f.u.

=====

Density functional theory data (PBE) for a relaxed Dy2TiTl2S6 crystal.

Cell and atoms, written as POSCAR:
```
Dy2TiTl2S6
1.0
3.3470 -5.7531 0.0000
3.3470 5.7531 0.0000
-2.3031 0.0000 7.5194
Dy Ti Tl S
2 1 2 6
direct
0.1672 0.8328 0.0000
0.8328 0.1672 0.0000
0.5000 0.5000 0.0000
0.3290 0.6710 0.5000
0.6710 0.3290 0.5000
0.1281 0.4332 0.8093
0.2635 0.2635 0.1921
0.4332 0.1281 0.8093
0.5668 0.8718 0.1907
0.7365 0.7365 0.8079
0.8718 0.5668 0.1907
```

## Properties
The calculation puts the theoretical density at 5.59 g cm⁻³. Its total energy is -5.64 eV/atom. The calculation puts the magnetic moment at 0.0 μB/cell. For the formation energy from raw total energies, the calculation gives -1.404 eV per atom. Its space-group type is C2/m, No. 12.

=====

Density functional theory data (PBE) for a relaxed TaMn2Os crystal.

Cell and atoms, written as POSCAR:
```
TaMn2Os
1.0
2.7163 0.0000 0.0000
0.0000 4.0259 0.0000
-1.2533 0.0000 5.1609
Ta Mn Os
1 2 1
direct
0.0000 0.0000 0.0000
0.4960 0.5000 0.7368
0.5040 0.5000 0.2632
0.0000 0.0000 0.5000
```

## Properties
The calculation puts the theoretical density at 14.15 g cm⁻³. Its total energy is -10.29 eV/atom. The calculation puts the magnetic moment at 3.8 μB/cell. For the distance to the lowest polymorph of the same formula, the calculation gives 0.154 eV per atom. Its space-group type is P2/m, No. 10. The calculation puts the formation energy at 65 meV per atom. The density of states at the Fermi level is 3.62 states/eV/f.u.